[1]
A relaxed structure of Pr2DyHo5, computed with PBE-GGA.

Calculated values
- DOS at the Fermi energy (states/eV/cell) = 11.80
- total moment (μB/f.u.) = 0.0
- calculated total energy (eV/atom) = -4.61
- relative energy among the computed polymorphs (meV per atom) = 3
- DFT formation energy (eV per atom) = 0.03
- space-group type = I4/mmm, No. 139

a = 5.0689 Å, b = 5.0689 Å, c = 10.6724 Å
α = 103.74°, β = 103.74°, γ = 90.00°
Closest atoms and distances in Å follow each position.
Fractional positions:
Ho (0.1222, 0.6222, 0.2445)  6 Ho 3.53-3.58, 2 Dy 3.53, 4 Pr 3.61
Ho (0.8778, 0.3778, 0.7555)  6 Ho 3.53-3.58, 2 Dy 3.53, 4 Pr 3.61
Ho (0.5000, 0.5000, 0.0000)  8 Ho 3.53, 4 Dy 3.58
Ho (0.6222, 0.1222, 0.2445)  2 Dy 3.53, 6 Ho 3.53-3.58, 4 Pr 3.61
Ho (0.3778, 0.8778, 0.7555)  2 Dy 3.53, 6 Ho 3.53-3.58, 4 Pr 3.61
Pr (0.2500, 0.2500, 0.5000)  4 Pr 3.58, 8 Ho 3.61
Pr (0.7500, 0.7500, 0.5000)  4 Pr 3.58, 8 Ho 3.61
Dy (0.0000, 0.0000, 0.0000)  12 Ho 3.53-3.58



[2]
A relaxed structure of PrDy4Ho, computed with PBE-GGA.

Calculated values
- DOS at the Fermi energy (states/eV/cell) = 11.46
- total moment (μB/f.u.) = 0.8
- calculated total energy (eV/atom) = -4.35
- relative energy among the computed polymorphs (meV per atom) = 252
- DFT formation energy (eV per atom) = 0.27
- space-group type = F-43m, No. 216

a = 6.5948 Å, b = 6.5948 Å, c = 6.5948 Å
α = 60.00°, β = 60.00°, γ = 60.00°
Closest atoms and distances in Å follow each position.
Fractional positions:
Dy (0.6253, 0.6253, 0.6253)  6 Dy 3.29-3.31
Dy (0.6253, 0.1240, 0.6253)  6 Dy 3.29-3.31
Dy (0.6253, 0.6253, 0.1240)  6 Dy 3.29-3.31
Dy (0.1240, 0.6253, 0.6253)  6 Dy 3.29-3.31
Pr (0.2500, 0.2500, 0.2500)  12 Dy 3.87, 4 Ho 4.04
Ho (0.0000, 0.0000, 0.0000)  12 Dy 3.87, 4 Pr 4.04



[3]
A relaxed structure of Pr2Dy2Ho3, computed with PBE-GGA.

Calculated values
- DOS at the Fermi energy (states/eV/cell) = 18.51
- total moment (μB/f.u.) = 0.0
- calculated total energy (eV/atom) = -4.42
- relative energy among the computed polymorphs (meV per atom) = 92
- DFT formation energy (eV per atom) = 0.22
- space-group type = I2_13, No. 199

a = 8.4604 Å, b = 8.4604 Å, c = 8.4604 Å
α = 109.47°, β = 109.47°, γ = 109.47°
Closest atoms and distances in Å follow each position.
Fractional positions:
Pr (0.3139, 0.5000, 0.0000)  1 Dy 3.36, 3 Ho 3.49, 3 Pr 3.56
Pr (0.5000, 0.8139, 0.5000)  1 Dy 3.36, 3 Ho 3.49, 3 Pr 3.56
Pr (0.0000, 0.0000, 0.8139)  1 Dy 3.36, 3 Ho 3.49, 3 Pr 3.56
Pr (0.1861, 0.6861, 0.6861)  1 Dy 3.36, 3 Ho 3.49, 3 Pr 3.56
Ho (0.6959, 0.7500, 0.9459)  4 Dy 3.25-3.30, 2 Pr 3.49
Ho (0.7500, 0.5541, 0.3041)  4 Dy 3.25-3.30, 2 Pr 3.49
Ho (0.0541, 0.3041, 0.2500)  4 Dy 3.25-3.30, 2 Pr 3.49
Ho (0.8041, 0.2500, 0.5541)  4 Dy 3.25-3.30, 2 Pr 3.49
Ho (0.4459, 0.1959, 0.7500)  4 Dy 3.25-3.30, 2 Pr 3.49
Ho (0.2500, 0.9459, 0.1959)  4 Dy 3.25-3.30, 2 Pr 3.49
Dy (0.5835, 0.0835, 0.0835)  6 Ho 3.25-3.30, 1 Pr 3.36
Dy (0.5000, 0.4165, 0.5000)  6 Ho 3.25-3.30, 1 Pr 3.36
Dy (0.9165, 0.5000, 0.0000)  6 Ho 3.25-3.30, 1 Pr 3.36
Dy (0.0000, 0.0000, 0.4165)  6 Ho 3.25-3.30, 1 Pr 3.36



Which of these has the lowest calculated total energy? Pr2DyHo5



The highest total moment belongs to which entry? PrDy4Ho